1 | This record from the Alexandria database describes an optimized crystal structure of As2RhCl. The functional is GGA-PBE.

space-group type	Cmmm (65)

Unit cell a=3.8259 b=5.0052 c=5.0056 alpha=56.46 beta=90.00 gamma=90.00
Element x y z (fractional)
As 0.0000 0.9312 0.9313
As 0.0000 0.5688 0.5687
Rh 0.5000 0.7500 0.7500
Cl 0.5000 0.2500 0.2500

2 | This record from the Alexandria database describes an optimized crystal structure of As2RhCl. The functional is GGA-PBE.

space-group type	Cmmm (65)

Unit cell a=5.0162 b=5.0162 c=3.1307 alpha=90.00 beta=90.00 gamma=117.20
Element x y z (fractional)
As 0.0000 0.0000 0.0000
As 0.5000 0.5000 0.0000
Rh 0.0000 0.5000 0.5000
Cl 0.5000 0.0000 0.5000

Verdict on stability: 2 comes out at the bottom.

1 | This record from the Alexandria database describes an optimized crystal structure of As2RhCl. The functional is GGA-PBE.

space-group type	C2/m (12)

Unit cell a=3.8825 b=3.8825 c=7.4257 alpha=105.09 beta=105.09 gamma=60.17
Element x y z (fractional)
As 0.8653 0.8653 0.0983
As 0.6347 0.6347 0.4017
Rh 0.2500 0.2500 0.2500
Cl 0.7500 0.7500 0.7500

2 | This record from the Alexandria database describes an optimized crystal structure of As2RhCl. The functional is GGA-PBE.

space-group type	Fm-3m (225)

Unit cell a=4.5665 b=4.5665 c=4.5665 alpha=60.00 beta=60.00 gamma=60.00
Element x y z (fractional)
As 0.2500 0.2500 0.2500
As 0.7500 0.7500 0.7500
Rh 0.5000 0.5000 0.5000
Cl 0.0000 0.0000 0.0000

3 | This record from the Alexandria database describes an optimized crystal structure of As2RhCl. The functional is GGA-PBE.

space-group type	Immm (71)

Unit cell a=6.1070 b=6.1070 c=6.1070 alpha=151.59 beta=137.03 gamma=52.32
Element x y z (fractional)
As 0.0556 0.0556 0.0000
As 0.4444 0.4444 0.0000
Rh 0.2500 0.7500 0.5000
Cl 0.7500 0.2500 0.5000

Verdict on stability: 2 comes out at the bottom.

1 | This record from the Alexandria database describes an optimized crystal structure of As3RhCl. The functional is GGA-PBE.

space-group type	Pm-3m (221)

Unit cell a=4.8594 b=4.8594 c=4.8594 alpha=90.00 beta=90.00 gamma=90.00
Last column: magnetic moment on the atom in μB.
Element x y z (fractional)
As 0.0000 0.5000 0.0000  0.06
As 0.0000 0.0000 0.5000  0.13
As 0.5000 0.0000 0.0000  0.04
Rh 0.0000 0.0000 0.0000  0.05
Cl 0.5000 0.5000 0.5000  0.05

2 | This record from the Alexandria database describes an optimized crystal structure of As3RhCl. The functional is GGA-PBE.

space-group type	Pm-3m (221)

Unit cell a=4.7195 b=4.7195 c=4.7195 alpha=90.00 beta=90.00 gamma=90.00
Element x y z (fractional)
As 0.0000 0.5000 0.0000
As 0.0000 0.0000 0.5000
As 0.5000 0.0000 0.0000
Rh 0.5000 0.5000 0.5000
Cl 0.0000 0.0000 0.0000

Verdict on stability: 2 comes out at the bottom.

1 | This record from the Alexandria database describes an optimized crystal structure of As2RhSeCl. The functional is GGA-PBE.

space-group type	P4/mmm (123)

Unit cell a=4.7146 b=4.7146 c=4.9498 alpha=90.00 beta=90.00 gamma=90.00
Element x y z (fractional)
As 0.0000 0.5000 0.0000
As 0.5000 0.0000 0.0000
Rh 0.5000 0.5000 0.5000
Se 0.0000 0.0000 0.5000
Cl 0.0000 0.0000 0.0000

2 | This record from the Alexandria database describes an optimized crystal structure of As2RhSeCl. The functional is GGA-PBE.

space-group type	P4/mmm (123)

Unit cell a=4.8341 b=4.8341 c=4.9661 alpha=90.00 beta=90.00 gamma=90.00
Element x y z (fractional)
As 0.0000 0.5000 0.0000
As 0.5000 0.0000 0.0000
Rh 0.0000 0.0000 0.0000
Se 0.0000 0.0000 0.5000
Cl 0.5000 0.5000 0.5000

Verdict on stability: 1 comes out at the bottom.